Record 1
Entry from the Alexandria database: a relaxed structure of KBrCl (GGA-PBE).

Structure (CIF):
```
data_KBrCl
_space_group_name_H-M_alt 'P 1'
_space_group_IT_number 1
_cell_length_a 4.7959
_cell_length_b 5.0793
_cell_length_c 9.5297
_cell_angle_alpha 83.48
_cell_angle_beta 77.69
_cell_angle_gamma 72.41
loop_
_space_group_symop_operation_xyz
'x,y,z'
loop_
_atom_site_label
_atom_site_fract_x
_atom_site_fract_y
_atom_site_fract_z
K1 0.0000 0.0000 0.0000
K2 0.2042 0.5536 0.4901
Br1 0.5899 0.5868 0.1329
Br2 0.8855 0.1793 0.3570
Cl1 0.5280 0.1591 0.7534
Cl2 0.5323 0.6603 0.7410
```

Properties
offset from the most stable computed form	0.2140	eV per atom
formation energy from raw total energies	-1.09	eV per atom


Record 2
Entry from the Alexandria database: a relaxed structure of K2BrCl (GGA-PBE).

Structure (CIF):
```
data_K2BrCl
_space_group_name_H-M_alt 'C 1 2/m 1'
_space_group_IT_number 12
_cell_length_a 7.9825
_cell_length_b 4.6008
_cell_length_c 8.0552
_cell_angle_alpha 90.00
_cell_angle_beta 109.23
_cell_angle_gamma 90.00
loop_
_space_group_symop_operation_xyz
'x,y,z'
'-x,-y,-z'
'-x,y,-z'
'x,-y,z'
'x+1/2,y+1/2,z'
'-x+1/2,-y+1/2,-z'
'-x+1/2,y+1/2,-z'
'x+1/2,-y+1/2,z'
loop_
_atom_site_label
_atom_site_fract_x
_atom_site_fract_y
_atom_site_fract_z
K1 0.2459 0.0000 0.2379
Br1 0.0000 0.0000 0.5000
Cl1 0.0000 0.5000 0.0000
```

Properties
offset from the most stable computed form	0.0000	eV per atom
formation energy from raw total energies	-1.85	eV per atom


Record 3
Entry from the Alexandria database: a relaxed structure of KBr2Cl (GGA-PBE).

Structure (CIF):
```
data_KBr2Cl
_space_group_name_H-M_alt 'F -4 3 m'
_space_group_IT_number 216
_space_group_name_Hall 'F -4 2 3'
_cell_length_a 7.8682
_cell_length_b 7.8682
_cell_length_c 7.8682
_cell_angle_alpha 90.00
_cell_angle_beta 90.00
_cell_angle_gamma 90.00
loop_
_atom_site_label
_atom_site_fract_x
_atom_site_fract_y
_atom_site_fract_z
K1 0.0000 0.0000 0.0000
Br1 0.0000 0.0000 0.5000
Br2 0.2500 0.2500 0.2500
Cl1 0.2500 0.2500 0.7500
```

Properties
offset from the most stable computed form	0.4235	eV per atom
formation energy from raw total energies	-0.53	eV per atom


Record 4
Entry from the Alexandria database: a relaxed structure of KBrCl2 (GGA-PBE).

Structure (CIF):
```
data_KBrCl2
_space_group_name_H-M_alt 'P m m m'
_space_group_IT_number 47
_cell_length_a 4.0927
_cell_length_b 4.1194
_cell_length_c 8.0811
_cell_angle_alpha 90.00
_cell_angle_beta 90.00
_cell_angle_gamma 90.00
loop_
_space_group_symop_operation_xyz
'x,y,z'
'-x,-y,-z'
'-x,-y,z'
'x,y,-z'
'x,-y,-z'
'-x,y,z'
'-x,y,-z'
'x,-y,z'
loop_
_atom_site_label
_atom_site_fract_x
_atom_site_fract_y
_atom_site_fract_z
K1 0.0000 0.0000 0.0000
Br1 0.0000 0.5000 0.5000
Cl1 0.5000 0.0000 0.5000
Cl2 0.5000 0.5000 0.0000
```

Properties
formation energy from raw total energies	-0.72	eV per atom


Record 5
Entry from the Alexandria database: a relaxed structure of KBr4Cl (GGA-PBE).

Structure (CIF):
```
data_KBr4Cl
_space_group_name_H-M_alt 'I 41/a m d'
_space_group_IT_number 141
_cell_length_a 7.9690
_cell_length_b 7.9690
_cell_length_c 14.7264
_cell_angle_alpha 90.00
_cell_angle_beta 90.00
_cell_angle_gamma 90.00
loop_
_space_group_symop_operation_xyz
'x,y,z'
'-x,-y,-z'
'-y+1/4,x+3/4,z+1/4'
'y+1/4,-x+3/4,-z+1/4'
'-x+1/2,-y,z+1/2'
'x+1/2,y,-z+1/2'
'y+1/4,-x+1/4,z+3/4'
'-y+1/4,x+1/4,-z+3/4'
'x,-y,-z'
'-x,y,z'
'-y+1/4,-x+1/4,-z+3/4'
'y+1/4,x+1/4,z+3/4'
'-x+1/2,y,-z+1/2'
'x+1/2,-y,z+1/2'
'y+1/4,x+3/4,-z+1/4'
'-y+1/4,-x+3/4,z+1/4'
'x+1/2,y+1/2,z+1/2'
'-x+1/2,-y+1/2,-z+1/2'
'-y+3/4,x+1/4,z+3/4'
'y+3/4,-x+1/4,-z+3/4'
'-x,-y+1/2,z'
'x,y+1/2,-z'
'y+3/4,-x+3/4,z+1/4'
'-y+3/4,x+3/4,-z+1/4'
'x+1/2,-y+1/2,-z+1/2'
'-x+1/2,y+1/2,z+1/2'
'-y+3/4,-x+3/4,-z+1/4'
'y+3/4,x+3/4,z+1/4'
'-x,y+1/2,-z'
'x,-y+1/2,z'
'y+3/4,x+1/4,-z+3/4'
'-y+3/4,-x+1/4,z+3/4'
loop_
_atom_site_label
_atom_site_fract_x
_atom_site_fract_y
_atom_site_fract_z
K1 0.0000 0.2500 0.3750
Br1 0.0000 0.0959 0.1599
Cl1 0.0000 0.2500 0.8750
```

Properties
offset from the most stable computed form	0.0000	eV per atom
formation energy from raw total energies	-0.57	eV per atom


Record 6
Entry from the Alexandria database: a relaxed structure of KBr2Cl (GGA-PBE).

Structure (CIF):
```
data_KBr2Cl
_space_group_name_H-M_alt 'R -3 m'
_space_group_IT_number 166
_space_group_name_Hall '-R 3 2"'
_cell_length_a 5.4127
_cell_length_b 5.4127
_cell_length_c 22.5314
_cell_angle_alpha 90.00
_cell_angle_beta 90.00
_cell_angle_gamma 120.00
loop_
_atom_site_label
_atom_site_fract_x
_atom_site_fract_y
_atom_site_fract_z
K1 0.0000 0.0000 0.0000
Br1 0.0000 0.0000 0.3910
Cl1 0.0000 0.0000 0.5000
```

Properties
offset from the most stable computed form	0.0990	eV per atom
formation energy from raw total energies	-0.86	eV per atom


Record 7
Entry from the Alexandria database: a relaxed structure of KBr2Cl (GGA-PBE).

Structure (CIF):
```
data_KBr2Cl
_space_group_name_H-M_alt 'P m m 2'
_space_group_IT_number 25
_cell_length_a 5.4395
_cell_length_b 5.7662
_cell_length_c 4.2795
_cell_angle_alpha 90.00
_cell_angle_beta 90.00
_cell_angle_gamma 90.00
loop_
_space_group_symop_operation_xyz
'x,y,z'
'-x,-y,z'
'-x,y,z'
'x,-y,z'
loop_
_atom_site_label
_atom_site_fract_x
_atom_site_fract_y
_atom_site_fract_z
K1 0.0000 0.0000 0.0000
Br1 0.0000 0.5000 0.5004
Br2 0.5000 0.5000 0.5009
Cl1 0.5000 0.0000 0.5014
```

Properties
offset from the most stable computed form	0.1330	eV per atom
formation energy from raw total energies	-0.83	eV per atom


Record 8
Entry from the Alexandria database: a relaxed structure of KBr2Cl (GGA-PBE).

Structure (CIF):
```
data_KBr2Cl
_space_group_name_H-M_alt 'C m m 2'
_space_group_IT_number 35
_cell_length_a 5.6117
_cell_length_b 6.3254
_cell_length_c 8.4345
_cell_angle_alpha 90.00
_cell_angle_beta 90.00
_cell_angle_gamma 90.00
loop_
_space_group_symop_operation_xyz
'x,y,z'
'-x,-y,z'
'-x,y,z'
'x,-y,z'
'x+1/2,y+1/2,z'
'-x+1/2,-y+1/2,z'
'-x+1/2,y+1/2,z'
'x+1/2,-y+1/2,z'
loop_
_atom_site_label
_atom_site_fract_x
_atom_site_fract_y
_atom_site_fract_z
K1 0.0000 0.0000 0.0000
Br1 0.0000 0.0000 0.4481
Br2 0.0000 0.5000 0.4485
Cl1 0.0000 0.5000 0.9409
```

Properties
offset from the most stable computed form	0.1823	eV per atom
formation energy from raw total energies	-0.78	eV per atom


Record 9
Entry from the Alexandria database: a relaxed structure of K5BrCl4 (GGA-PBE).

Structure (CIF):
```
data_K5BrCl4
_space_group_name_H-M_alt 'I 4/m m m'
_space_group_IT_number 139
_space_group_name_Hall '-I 4 2'
_cell_length_a 4.5550
_cell_length_b 4.5550
_cell_length_c 32.1551
_cell_angle_alpha 90.00
_cell_angle_beta 90.00
_cell_angle_gamma 90.00
loop_
_atom_site_label
_atom_site_fract_x
_atom_site_fract_y
_atom_site_fract_z
K1 0.0000 0.0000 0.0000
K2 0.0000 0.0000 0.2005
K3 0.0000 0.0000 0.3964
Br1 0.0000 0.0000 0.5000
Cl1 0.0000 0.0000 0.1004
Cl2 0.0000 0.0000 0.2992
```

Properties
offset from the most stable computed form	0.0027	eV per atom
formation energy from raw total energies	-1.91	eV per atom


Record 10
Entry from the Alexandria database: a relaxed structure of KBrCl2 (GGA-PBE).

Structure (CIF):
```
data_KBrCl2
_space_group_name_H-M_alt 'C m m m'
_space_group_IT_number 65
_space_group_name_Hall '-C 2 2'
_cell_length_a 4.6271
_cell_length_b 8.2338
_cell_length_c 7.5687
_cell_angle_alpha 90.00
_cell_angle_beta 90.00
_cell_angle_gamma 90.00
loop_
_atom_site_label
_atom_site_fract_x
_atom_site_fract_y
_atom_site_fract_z
K1 0.0000 0.0000 0.0000
Br1 0.0000 0.0000 0.5000
Cl1 0.0000 0.5000 0.2635
```

Properties
formation energy from raw total energies	-0.58	eV per atom


Record 11
Entry from the Alexandria database: a relaxed structure of K2BrCl2 (GGA-PBE).

Structure (CIF):
```
data_K2BrCl2
_space_group_name_H-M_alt 'I 4/m m m'
_space_group_IT_number 139
_space_group_name_Hall '-I 4 2'
_cell_length_a 4.3513
_cell_length_b 4.3513
_cell_length_c 16.7729
_cell_angle_alpha 90.00
_cell_angle_beta 90.00
_cell_angle_gamma 90.00
loop_
_atom_site_label
_atom_site_fract_x
_atom_site_fract_y
_atom_site_fract_z
K1 0.0000 0.0000 0.1127
Br1 0.0000 0.0000 0.5000
Cl1 0.0000 0.5000 0.2500
```

Properties
offset from the most stable computed form	0.0350	eV per atom
formation energy from raw total energies	-1.29	eV per atom


Record 12
Entry from the Alexandria database: a relaxed structure of KBrCl (GGA-PBE).

Structure (CIF):
```
data_KBrCl
_space_group_name_H-M_alt 'P 3 m 1'
_space_group_IT_number 156
_cell_length_a 5.1013
_cell_length_b 5.1013
_cell_length_c 4.7089
_cell_angle_alpha 90.00
_cell_angle_beta 90.00
_cell_angle_gamma 120.00
loop_
_space_group_symop_operation_xyz
'x,y,z'
'-y,x-y,z'
'-x+y,-x,z'
'-y,-x,z'
'-x+y,y,z'
'x,x-y,z'
loop_
_atom_site_label
_atom_site_fract_x
_atom_site_fract_y
_atom_site_fract_z
K1 0.0000 0.0000 0.0000
Br1 0.6667 0.3333 0.3689
Cl1 0.3333 0.6667 0.8122
```

Properties
offset from the most stable computed form	0.3998	eV per atom
formation energy from raw total energies	-0.91	eV per atom